GdMgZn: optimized geometry, PBE-GGA.

Output
Final energy: -2.414 eV/atom

abc: 3.898 3.898 11.668
angles: 90.00 90.00 120.00
Atoms (fractional coordinates):
Gd: 0.000 0.000 0.000
Gd: 0.333 0.667 0.519
Mg: 0.333 0.667 0.210
Mg: 0.667 0.333 0.797
Zn: 0.000 0.000 0.347
Zn: 0.000 0.000 0.680